a:
AlSbAsBr2: optimized geometry, PBE.

```
data_AlSbAsBr2
_chemical_formula_sum 'Al1 Sb1 As1 Br2'
_cell_length_a 4.914
_cell_length_b 4.914
_cell_length_c 5.279
_cell_angle_alpha 90.00
_cell_angle_beta 90.00
_cell_angle_gamma 90.00
_symmetry_space_group_name_H-M 'P 4/m m m'
_symmetry_Int_Tables_number 123
_symmetry_space_group_name_Hall '-P 4 2'
loop_
_atom_site_label
_atom_site_type_symbol
_atom_site_fract_x
_atom_site_fract_y
_atom_site_fract_z
Al1 Al 0.000 0.000 0.000
Sb1 Sb 0.500 0.500 0.500
As1 As 0.000 0.000 0.500
Br1 Br 0.000 0.500 0.000
```

Calculated values
spin magnetization: 0.00 μB per cell
N(E_F): 2.81 states/eV per cell
mass density: 4.99 g/cm³

***

b:
AlSbAsBr2: optimized geometry, PBE.

```
data_AlSbAsBr2
_chemical_formula_sum 'Al1 Sb1 As1 Br2'
_cell_length_a 5.683
_cell_length_b 5.683
_cell_length_c 5.412
_cell_angle_alpha 90.00
_cell_angle_beta 90.00
_cell_angle_gamma 90.00
_symmetry_space_group_name_H-M 'P 4/m m m'
_symmetry_Int_Tables_number 123
_symmetry_space_group_name_Hall '-P 4 2'
loop_
_atom_site_label
_atom_site_type_symbol
_atom_site_fract_x
_atom_site_fract_y
_atom_site_fract_z
Al1 Al 0.000 0.000 0.000
Sb1 Sb 0.500 0.500 0.500
As1 As 0.500 0.500 0.000
Br1 Br 0.000 0.500 0.500
```

Calculated values
spin magnetization: 0.71 μB per cell
N(E_F): 3.22 states/eV per cell
mass density: 3.64 g/cm³

***

Which of them is the most stable, and which is the least stable? a and b, in that order.

***

a:
ScAlAs2Br: optimized geometry, PBE.

```
data_ScAlAs2Br
_chemical_formula_sum 'Sc1 Al1 As2 Br1'
_cell_length_a 5.175
_cell_length_b 5.175
_cell_length_c 5.265
_cell_angle_alpha 90.00
_cell_angle_beta 90.00
_cell_angle_gamma 90.00
_symmetry_space_group_name_H-M 'P 4/m m m'
_symmetry_Int_Tables_number 123
_symmetry_space_group_name_Hall '-P 4 2'
loop_
_atom_site_label
_atom_site_type_symbol
_atom_site_fract_x
_atom_site_fract_y
_atom_site_fract_z
Sc1 Sc 0.000 0.000 0.000
Al1 Al 0.500 0.500 0.500
As1 As 0.000 0.500 0.000
Br1 Br 0.000 0.000 0.500
```

Calculated values
spin magnetization: 0.00 μB per cell
N(E_F): 3.94 states/eV per cell
mass density: 3.55 g/cm³

***

b:
ScAlAs2Br: optimized geometry, PBE.

```
data_ScAlAs2Br
_chemical_formula_sum 'Sc1 Al1 As2 Br1'
_cell_length_a 4.845
_cell_length_b 4.845
_cell_length_c 5.046
_cell_angle_alpha 90.00
_cell_angle_beta 90.00
_cell_angle_gamma 90.00
_symmetry_space_group_name_H-M 'P 4/m m m'
_symmetry_Int_Tables_number 123
_symmetry_space_group_name_Hall '-P 4 2'
loop_
_atom_site_label
_atom_site_type_symbol
_atom_site_fract_x
_atom_site_fract_y
_atom_site_fract_z
Sc1 Sc 0.000 0.000 0.000
Al1 Al 0.500 0.500 0.500
As1 As 0.000 0.500 0.500
Br1 Br 0.500 0.500 0.000
```

Calculated values
spin magnetization: 0.00 μB per cell
N(E_F): 2.56 states/eV per cell
mass density: 4.23 g/cm³

***

Which of them is the most stable, and which is the least stable? b and a, in that order.

***

a:
ScAlAsBr2: optimized geometry, PBE.

```
data_ScAlAsBr2
_chemical_formula_sum 'Sc1 Al1 As1 Br2'
_cell_length_a 4.950
_cell_length_b 4.950
_cell_length_c 5.148
_cell_angle_alpha 90.00
_cell_angle_beta 90.00
_cell_angle_gamma 90.00
_symmetry_space_group_name_H-M 'P 4/m m m'
_symmetry_Int_Tables_number 123
_symmetry_space_group_name_Hall '-P 4 2'
loop_
_atom_site_label
_atom_site_type_symbol
_atom_site_fract_x
_atom_site_fract_y
_atom_site_fract_z
Sc1 Sc 0.000 0.000 0.000
Al1 Al 0.500 0.500 0.500
As1 As 0.500 0.500 0.000
Br1 Br 0.000 0.500 0.500
```

Calculated values
spin magnetization: 0.59 μB per cell
N(E_F): 3.32 states/eV per cell
mass density: 4.04 g/cm³

***

b:
ScAlAsBr2: optimized geometry, PBE.

```
data_ScAlAsBr2
_chemical_formula_sum 'Sc1 Al1 As1 Br2'
_cell_length_a 5.199
_cell_length_b 5.199
_cell_length_c 5.442
_cell_angle_alpha 90.00
_cell_angle_beta 90.00
_cell_angle_gamma 90.00
_symmetry_space_group_name_H-M 'P 4/m m m'
_symmetry_Int_Tables_number 123
_symmetry_space_group_name_Hall '-P 4 2'
loop_
_atom_site_label
_atom_site_type_symbol
_atom_site_fract_x
_atom_site_fract_y
_atom_site_fract_z
Sc1 Sc 0.000 0.000 0.000
Al1 Al 0.500 0.500 0.500
As1 As 0.000 0.000 0.500
Br1 Br 0.000 0.500 0.000
```

Calculated values
spin magnetization: 0.00 μB per cell
N(E_F): 3.03 states/eV per cell
mass density: 3.46 g/cm³

***

Which of them is the most stable, and which is the least stable? b and a, in that order.

***

a:
AlAsSeBr2: optimized geometry, PBE.

```
data_AlAsSeBr2
_chemical_formula_sum 'Al1 As1 Se1 Br2'
_cell_length_a 5.405
_cell_length_b 5.405
_cell_length_c 5.060
_cell_angle_alpha 90.00
_cell_angle_beta 90.00
_cell_angle_gamma 90.00
_symmetry_space_group_name_H-M 'P 4/m m m'
_symmetry_Int_Tables_number 123
_symmetry_space_group_name_Hall '-P 4 2'
loop_
_atom_site_label
_atom_site_type_symbol
_atom_site_fract_x
_atom_site_fract_y
_atom_site_fract_z
Al1 Al 0.000 0.000 0.000
As1 As 0.500 0.500 0.500
Se1 Se 0.500 0.500 0.000
Br1 Br 0.000 0.500 0.500
```

Calculated values
spin magnetization: 0.00 μB per cell
N(E_F): 1.27 states/eV per cell
mass density: 3.83 g/cm³

***

b:
AlAsSeBr2: optimized geometry, PBE.

```
data_AlAsSeBr2
_chemical_formula_sum 'Al1 As1 Se1 Br2'
_cell_length_a 5.563
_cell_length_b 5.563
_cell_length_c 5.036
_cell_angle_alpha 90.00
_cell_angle_beta 90.00
_cell_angle_gamma 90.00
_symmetry_space_group_name_H-M 'P 4/m m m'
_symmetry_Int_Tables_number 123
_symmetry_space_group_name_Hall '-P 4 2'
loop_
_atom_site_label
_atom_site_type_symbol
_atom_site_fract_x
_atom_site_fract_y
_atom_site_fract_z
Al1 Al 0.000 0.000 0.000
As1 As 0.500 0.500 0.000
Se1 Se 0.500 0.500 0.500
Br1 Br 0.000 0.500 0.500
```

Calculated values
spin magnetization: 0.00 μB per cell
N(E_F): 2.27 states/eV per cell
mass density: 3.63 g/cm³

***

c:
AlAsSeBr2: optimized geometry, PBE.

```
data_AlAsSeBr2
_chemical_formula_sum 'Al1 As1 Se1 Br2'
_cell_length_a 4.827
_cell_length_b 4.827
_cell_length_c 5.481
_cell_angle_alpha 90.00
_cell_angle_beta 90.00
_cell_angle_gamma 90.00
_symmetry_space_group_name_H-M 'P 4/m m m'
_symmetry_Int_Tables_number 123
_symmetry_space_group_name_Hall '-P 4 2'
loop_
_atom_site_label
_atom_site_type_symbol
_atom_site_fract_x
_atom_site_fract_y
_atom_site_fract_z
Al1 Al 0.000 0.000 0.000
As1 As 0.000 0.000 0.500
Se1 Se 0.500 0.500 0.500
Br1 Br 0.000 0.500 0.000
```

Calculated values
spin magnetization: 0.39 μB per cell
N(E_F): 2.56 states/eV per cell
mass density: 4.43 g/cm³

***

Which of them is the most stable, and which is the least stable? a and b, in that order.

***

a:
AlTeAs2Br: optimized geometry, PBE.

```
data_AlTeAs2Br
_chemical_formula_sum 'Al1 Te1 As2 Br1'
_cell_length_a 5.361
_cell_length_b 5.361
_cell_length_c 5.786
_cell_angle_alpha 90.00
_cell_angle_beta 90.00
_cell_angle_gamma 90.00
_symmetry_space_group_name_H-M 'P 4/m m m'
_symmetry_Int_Tables_number 123
_symmetry_space_group_name_Hall '-P 4 2'
loop_
_atom_site_label
_atom_site_type_symbol
_atom_site_fract_x
_atom_site_fract_y
_atom_site_fract_z
Al1 Al 0.000 0.000 0.000
Te1 Te 0.500 0.500 0.500
As1 As 0.000 0.500 0.500
Br1 Br 0.500 0.500 0.000
```

Calculated values
spin magnetization: 0.49 μB per cell
N(E_F): 5.14 states/eV per cell
mass density: 3.84 g/cm³

***

b:
AlTeAs2Br: optimized geometry, PBE.

```
data_AlTeAs2Br
_chemical_formula_sum 'Al1 Te1 As2 Br1'
_cell_length_a 5.068
_cell_length_b 5.068
_cell_length_c 4.775
_cell_angle_alpha 90.00
_cell_angle_beta 90.00
_cell_angle_gamma 90.00
_symmetry_space_group_name_H-M 'P 4/m m m'
_symmetry_Int_Tables_number 123
_symmetry_space_group_name_Hall '-P 4 2'
loop_
_atom_site_label
_atom_site_type_symbol
_atom_site_fract_x
_atom_site_fract_y
_atom_site_fract_z
Al1 Al 0.000 0.000 0.000
Te1 Te 0.500 0.500 0.500
As1 As 0.000 0.500 0.000
Br1 Br 0.000 0.000 0.500
```

Calculated values
spin magnetization: 0.00 μB per cell
N(E_F): 3.79 states/eV per cell
mass density: 5.20 g/cm³

***

Which of them is the most stable, and which is the least stable? b and a, in that order.

***

a:
TiAlAsBr2: optimized geometry, PBE.

```
data_TiAlAsBr2
_chemical_formula_sum 'Ti1 Al1 As1 Br2'
_cell_length_a 5.137
_cell_length_b 5.137
_cell_length_c 5.034
_cell_angle_alpha 90.00
_cell_angle_beta 90.00
_cell_angle_gamma 90.00
_symmetry_space_group_name_H-M 'P 4/m m m'
_symmetry_Int_Tables_number 123
_symmetry_space_group_name_Hall '-P 4 2'
loop_
_atom_site_label
_atom_site_type_symbol
_atom_site_fract_x
_atom_site_fract_y
_atom_site_fract_z
Ti1 Ti 0.000 0.000 0.000
Al1 Al 0.500 0.500 0.500
As1 As 0.000 0.000 0.500
Br1 Br 0.000 0.500 0.000
```

Calculated values
spin magnetization: 0.00 μB per cell
N(E_F): 3.60 states/eV per cell
mass density: 3.87 g/cm³

***

b:
TiAlAsBr2: optimized geometry, PBE.

```
data_TiAlAsBr2
_chemical_formula_sum 'Ti1 Al1 As1 Br2'
_cell_length_a 4.915
_cell_length_b 4.915
_cell_length_c 5.120
_cell_angle_alpha 90.00
_cell_angle_beta 90.00
_cell_angle_gamma 90.00
_symmetry_space_group_name_H-M 'P 4/m m m'
_symmetry_Int_Tables_number 123
_symmetry_space_group_name_Hall '-P 4 2'
loop_
_atom_site_label
_atom_site_type_symbol
_atom_site_fract_x
_atom_site_fract_y
_atom_site_fract_z
Ti1 Ti 0.000 0.000 0.000
Al1 Al 0.500 0.500 0.500
As1 As 0.500 0.500 0.000
Br1 Br 0.000 0.500 0.500
```

Calculated values
spin magnetization: 0.06 μB per cell
N(E_F): 8.19 states/eV per cell
mass density: 4.16 g/cm³

***

Which of them is the most stable, and which is the least stable? a and b, in that order.